! PBE LiAc2Cd4In3, relaxed; values from VASP
! * formation energy from the elements: -31.03 kJ per mole of atoms
! * symmetry: P-4m2
&SYSTEM
  ibrav = 0, nat = 10, ntyp = 4
/
ATOMIC_SPECIES
Li 6.94 Li.upf
In 114.82 In.upf
Cd 112.41 Cd.upf
Ac 227.00 Ac.upf
ATOMIC_POSITIONS crystal
Li 0.500 0.500 0.500
In 0.500 0.000 0.858
Cd 0.500 0.500 0.000
Ac 0.000 0.500 0.751
Ac 0.500 0.000 0.249
Cd 0.500 0.000 0.626
Cd 0.000 0.500 0.374
In 0.000 0.500 0.142
In 0.000 0.000 0.500
Cd 0.000 0.000 0.000
CELL_PARAMETERS angstrom
4.770 0.000 0.000
0.000 4.770 0.000
0.000 0.000 12.009